Computed, not measured: a relaxed In5Hg12Bi3 crystal at the GGA-PBE level of DFT.

```
In5Hg12Bi3
1.0
15.154 0.000 0.000
-5.051 14.287 0.000
-5.051 -7.143 12.373
Bi In Hg
12 20 48
Cartesian
8.840 4.465 1.547
8.840 9.822 1.547
-1.263 6.251 7.733
1.263 -0.893 4.640
11.365 0.000 3.093
1.263 7.143 3.093
3.788 0.000 9.280
-6.314 7.143 9.280
3.788 8.036 7.733
6.314 0.893 4.640
-3.788 -2.679 10.826
-3.788 2.679 10.826
-1.263 3.572 3.093
-2.526 7.143 0.000
0.000 0.000 0.000
3.788 2.679 1.547
5.051 -3.572 6.186
5.051 7.143 0.000
-3.788 8.036 4.640
6.314 -4.465 10.826
6.314 6.251 4.640
1.263 -3.572 9.280
3.788 10.715 3.093
2.526 3.572 6.186
7.577 0.000 0.000
-2.526 -3.572 6.186
-1.263 0.893 7.733
-1.263 11.608 1.547
-5.051 3.572 6.186
8.840 -0.893 7.733
1.263 4.465 10.826
6.314 3.572 9.280
10.059 1.523 0.735
0.043 4.969 5.235
11.048 3.261 3.353
6.631 2.299 1.686
1.917 5.632 8.286
10.483 7.030 2.099
-0.946 8.105 5.039
-4.106 11.988 1.686
0.608 8.655 8.286
7.196 7.257 2.099
7.620 3.697 4.500
7.620 12.764 0.735
-4.443 6.420 6.921
2.906 5.382 1.148
-5.094 10.590 4.500
2.569 -2.174 7.138
-0.608 0.788 2.834
2.906 9.018 0.952
6.631 11.026 3.353
-0.380 5.269 0.952
-3.134 7.931 9.539
3.471 6.181 5.039
6.968 7.867 6.921
5.432 -1.761 11.225
1.580 0.962 7.334
-1.917 -0.724 5.452
-0.380 8.905 1.148
-1.580 -3.883 9.020
8.185 -0.788 2.834
5.432 1.875 11.421
2.145 -1.875 11.421
2.482 9.317 5.235
5.660 6.356 9.539
10.146 -3.446 7.873
9.494 0.724 5.452
-2.569 -5.620 11.638
2.145 1.761 11.225
4.443 -1.511 4.087
-2.145 -0.113 10.274
-2.569 3.446 7.873
9.157 -4.845 10.687
5.997 -0.962 7.334
-1.580 4.845 10.687
-5.432 0.113 10.274
3.134 1.511 4.087
-5.997 3.883 9.020
5.008 2.174 7.138
-5.008 5.620 11.638
```

formation energy: 0.11 eV/atom
total DFT energy (no corrections): -106.675 eV per cell
DOS at the Fermi energy: 12.14 states/eV/f.u.
symmetry: No. 230


Computed, not measured: a relaxed In12Hg7Bi crystal at the GGA-PBE level of DFT.

```
In12Hg7Bi
1.0
9.049 -0.378 -0.567
-2.879 8.587 -0.567
-2.879 -3.830 7.706
In Hg Bi
12 7 1
Cartesian
5.814 -2.062 3.973
6.889 2.643 0.418
2.924 -0.563 4.498
4.645 1.249 2.393
0.623 -2.446 6.946
-0.092 0.356 5.359
3.383 4.023 1.214
2.668 6.825 -0.373
-1.353 3.130 4.180
0.367 4.942 2.074
-3.598 1.736 6.155
-2.523 6.441 2.600
5.483 5.141 -0.759
-0.123 7.659 0.686
7.391 -0.142 2.121
1.646 2.190 3.286
-4.100 4.521 4.452
3.414 -3.280 5.887
-2.192 -0.762 7.332
0.000 0.000 0.000
```

polymorph energy (0 for the lowest one): 0 kJ/mol of formula units
formation energy: 0.02 eV/atom
total DFT energy (no corrections): -38.397 eV per cell
DOS at the Fermi energy: 7.26 states/eV/f.u.
symmetry: No. 148


Computed, not measured: a relaxed In2Hg4Bi3 crystal at the GGA-PBE level of DFT.

```
In2Hg4Bi3
1.0
-3.918 -3.987 -2.291
-1.811 -0.089 2.822
-15.296 6.104 0.630
In Hg Bi
2 4 3
Cartesian
-10.439 -0.343 -0.353
-10.586 2.370 1.514
-7.626 0.928 1.368
-7.658 -1.747 -0.491
-13.367 3.774 1.651
-13.399 1.099 -0.207
-16.327 2.925 0.024
0.000 0.000 0.000
-4.698 -0.897 1.137
```

formation energy: 0.04 eV/atom
total DFT energy (no corrections): -17.990 eV per cell
DOS at the Fermi energy: 2.96 states/eV/f.u.
symmetry: No. 2


Computed, not measured: a relaxed In3Hg4Bi4 crystal at the GGA-PBE level of DFT.

```
In3Hg4Bi4
1.0
3.280 0.148 0.948
0.192 4.318 0.647
-1.258 0.093 22.958
In Hg Bi
3 4 4
Cartesian
1.294 2.785 18.051
0.921 1.774 6.502
0.000 0.000 0.000
2.123 0.905 15.810
0.554 2.392 21.882
1.660 2.166 2.670
0.091 3.654 8.743
0.909 3.214 13.509
3.124 4.235 5.503
-0.910 0.323 19.050
1.305 1.345 11.044
```

formation energy: 0.04 eV/atom
total DFT energy (no corrections): -24.531 eV per cell
DOS at the Fermi energy: 3.32 states/eV/f.u.
symmetry: No. 2


Computed, not measured: a relaxed In6HgBi3 crystal at the GGA-PBE level of DFT.

```
In6HgBi3
1.0
-2.873 -4.049 -0.643
7.875 -6.028 2.772
-4.122 1.265 10.452
In Hg Bi
12 2 6
Cartesian
2.404 -3.584 2.084
-1.523 -5.227 10.498
-0.299 -1.682 2.188
1.180 -7.129 10.393
1.492 -4.052 9.107
-0.612 -4.759 3.475
-0.832 -1.830 5.504
1.713 -6.981 7.078
4.769 -5.827 5.645
-3.888 -2.984 6.937
-4.050 -0.147 9.282
4.931 -8.664 3.300
4.222 -5.946 8.841
-3.341 -2.865 3.741
1.970 -3.839 5.631
-1.089 -4.972 6.951
-1.239 -2.089 8.949
2.119 -6.722 3.633
5.097 -5.508 2.167
-4.216 -3.303 10.415
```

formation energy: 0.02 eV/atom
total DFT energy (no corrections): -56.280 eV per cell
DOS at the Fermi energy: 4.04 states/eV/f.u.
symmetry: No. 11


Computed, not measured: a relaxed In2Hg3Bi crystal at the GGA-PBE level of DFT.

```
In2Hg3Bi
1.0
3.471 0.000 0.000
-1.736 8.299 -2.953
0.000 0.391 11.986
In Hg Bi
4 6 2
Cartesian
0.000 7.852 7.012
1.736 0.838 2.021
1.736 4.446 0.238
0.000 4.244 8.795
0.000 4.799 5.809
1.736 7.148 4.125
1.736 1.762 7.651
0.000 6.929 1.381
0.000 1.543 4.908
1.736 3.891 3.224
1.736 6.454 -2.235
0.000 2.237 11.268
```

polymorph energy (0 for the lowest one): 0 kJ/mol of formula units
formation energy: 0.02 eV/atom
total DFT energy (no corrections): -20.299 eV per cell
DOS at the Fermi energy: 2.20 states/eV/f.u.
symmetry: No. 12


Computed, not measured: a relaxed In11Hg9Bi4 crystal at the GGA-PBE level of DFT.

```
In11Hg9Bi4
1.0
-0.395 3.095 3.775
-10.980 1.377 -9.559
-2.258 -2.442 14.387
In Hg Bi
11 9 4
Cartesian
-8.850 0.830 10.576
-4.784 1.200 -1.973
-11.518 2.275 2.736
-2.116 -0.244 5.866
-7.979 0.279 -1.517
-5.655 1.752 10.119
-9.862 2.354 -3.384
-3.772 -0.324 11.987
0.000 0.000 0.000
-10.119 -0.051 4.906
-3.516 2.081 3.696
-7.580 3.374 -0.835
-6.054 -1.343 9.438
-2.835 -0.334 8.979
-10.799 2.364 -0.377
-11.181 -0.060 7.941
-2.453 2.091 0.662
-12.616 2.157 5.665
-1.018 -0.126 2.937
-6.817 1.015 4.301
-7.818 0.892 7.422
-5.816 1.139 1.180
-8.972 0.093 1.722
-4.662 1.937 6.880
```

formation energy: 0.03 eV/atom
total DFT energy (no corrections): -47.667 eV per cell
DOS at the Fermi energy: 10.40 states/eV/f.u.
symmetry: No. 2


Computed, not measured: a relaxed InHg2Bi2 crystal at the GGA-PBE level of DFT.

```
InHg2Bi2
1.0
-9.935 0.674 -3.288
3.569 -4.196 5.080
1.114 9.682 -1.381
In Hg Bi
2 4 4
Cartesian
-5.927 7.720 -3.273
-2.895 2.636 -1.395
-5.495 4.033 -0.905
-0.158 7.033 0.309
0.242 2.127 1.316
-5.094 -0.873 0.102
-3.048 5.942 -0.070
2.051 4.808 1.015
-2.205 0.218 0.481
-7.304 1.352 -0.604
```

polymorph energy (0 for the lowest one): 0 kJ/mol of formula units
formation energy: 0.06 eV/atom
total DFT energy (no corrections): -21.591 eV per cell
DOS at the Fermi energy: 1.82 states/eV/f.u.
symmetry: No. 15


Computed, not measured: a relaxed InHgBi2 crystal at the GGA-PBE level of DFT.

```
InHgBi2
1.0
7.716 -1.208 0.936
-1.714 4.159 -0.777
1.765 0.120 8.957
In Hg Bi
2 2 4
Cartesian
4.574 2.179 5.928
3.193 0.892 3.188
1.571 0.718 5.771
6.197 2.353 3.345
6.803 1.111 8.146
0.964 1.960 0.970
2.078 3.798 7.291
5.690 -0.727 1.826
```

formation energy: 0.07 eV/atom
total DFT energy (no corrections): -21.069 eV per cell
DOS at the Fermi energy: 1.85 states/eV/f.u.
symmetry: No. 2


Summary of calculated density in g/cm3
8.95 9.03 10.45 10.00 8.68 9.89 9.67 10.03 9.22
(order as listed above)